(1)
Computed, not measured: a relaxed Si2HgSb2 crystal at the PBE level of DFT.

```
Si2HgSb2
1.0
4.436 0.000 0.000
0.000 4.436 0.000
0.000 0.000 14.388
Si Hg Sb
4 2 4
Direct
0.000 0.500 0.250
0.000 0.500 0.750
0.500 0.000 0.250
0.500 0.000 0.750
0.000 0.000 0.000
0.500 0.500 0.500
0.000 0.000 0.363
0.000 0.000 0.637
0.500 0.500 0.137
0.500 0.500 0.863
```

## Properties
- E_form (uncorrected) (eV/atom) = 0.33
- symmetry = I4/mmm (139)

---

(2)
Computed, not measured: a relaxed Ho3Hg2Rh crystal at the PBE level of DFT.

```
Ho3Hg2Rh
1.0
5.053 0.000 0.000
0.000 7.387 0.000
-2.511 0.000 7.553
Ho Hg Rh
6 4 2
Direct
0.000 0.237 0.000
0.000 0.763 0.000
0.326 0.228 0.654
0.326 0.772 0.654
0.674 0.228 0.346
0.674 0.772 0.346
0.165 0.500 0.331
0.500 0.000 0.000
0.500 0.500 0.000
0.835 0.500 0.669
0.163 0.000 0.325
0.837 0.000 0.675
```

## Properties
- DFT formation energy (eV/atom) = -0.621
- symmetry = P2/m (10)

---

(3)
Computed, not measured: a relaxed Sm7Mg2Tl2 crystal at the PBE level of DFT.

```
Sm7Mg2Tl2
1.0
3.901 -5.726 0.000
3.901 5.726 0.000
0.000 0.000 8.263
Sm Mg Tl
7 2 2
Direct
0.000 0.000 0.000
0.000 0.500 0.291
0.000 0.500 0.709
0.500 0.000 0.291
0.500 0.000 0.709
0.500 0.500 0.260
0.500 0.500 0.740
0.174 0.174 0.500
0.826 0.826 0.500
0.293 0.707 0.000
0.707 0.293 0.000
```

## Properties
- DFT formation energy (eV/atom) = 0.110
- symmetry = Cmmm (65)

---

(4)
Computed, not measured: a relaxed Te2P2Pb crystal at the PBE level of DFT.

```
Te2P2Pb
1.0
8.575 0.000 0.000
0.000 8.575 0.000
0.000 0.000 3.691
Te P Pb
4 4 2
Direct
0.156 0.344 0.000
0.344 0.844 0.000
0.656 0.156 0.000
0.844 0.656 0.000
0.197 0.697 0.500
0.303 0.197 0.500
0.697 0.803 0.500
0.803 0.303 0.500
0.000 0.000 0.500
0.500 0.500 0.500
```

## Properties
- E_form (uncorrected) (eV/atom) = 0.21
- symmetry = P4/mbm (127)

---

(5)
Computed, not measured: a relaxed LiCd2Ge2Pt5 crystal at the PBE level of DFT.

```
LiCd2Ge2Pt5
1.0
9.359 0.000 0.000
0.000 9.359 0.000
0.000 0.000 3.842
Li Cd Ge Pt
2 4 4 10
Direct
0.000 0.000 0.000
0.500 0.500 0.000
0.171 0.329 0.000
0.329 0.829 0.000
0.671 0.171 0.000
0.829 0.671 0.000
0.132 0.632 0.000
0.368 0.132 0.000
0.632 0.868 0.000
0.868 0.368 0.000
0.000 0.500 0.500
0.070 0.802 0.500
0.198 0.070 0.500
0.302 0.570 0.500
0.430 0.302 0.500
0.500 0.000 0.500
0.570 0.698 0.500
0.698 0.430 0.500
0.802 0.930 0.500
0.930 0.198 0.500
```

## Properties
- DFT formation energy (eV/atom) = -0.288
- symmetry = P4/mbm (127)

---

(6)
Computed, not measured: a relaxed NaS2O crystal at the PBE level of DFT.

```
NaS2O
1.0
3.057 0.000 0.000
-1.528 2.647 0.000
0.000 0.000 24.722
Na S O
3 6 3
Direct
0.000 0.000 0.000
0.333 0.667 0.667
0.667 0.333 0.333
0.000 0.000 0.106
0.000 0.000 0.894
0.333 0.667 0.561
0.333 0.667 0.772
0.667 0.333 0.228
0.667 0.333 0.439
0.000 0.000 0.500
0.333 0.667 0.167
0.667 0.333 0.833
```

## Properties
- E_form (uncorrected) (eV/atom) = 0.78
- symmetry = R-3m (166)